# CsBeSe2 (PBE-GGA, relaxed)
# offset from the most stable computed form = 0.000 eV/f.u.
# Fermi-level density of states = 2.0 states/eV per cell
data_CsBeSe2
_chemical_formula_sum 'Cs4 Be4 Se8'
_symmetry_space_group_name_H-M 'I 41/a m d'
_symmetry_Int_Tables_number 141
_cell_length_a 6.1649
_cell_length_b 6.1649
_cell_length_c 12.7622
_cell_angle_alpha 90.00
_cell_angle_beta 90.00
_cell_angle_gamma 90.00
loop_
_symmetry_equiv_pos_as_xyz
'x,y,z'
'-x,-y,-z'
'-y+1/4,x+3/4,z+1/4'
'y+1/4,-x+3/4,-z+1/4'
'-x+1/2,-y,z+1/2'
'x+1/2,y,-z+1/2'
'y+1/4,-x+1/4,z+3/4'
'-y+1/4,x+1/4,-z+3/4'
'x,-y,-z'
'-x,y,z'
'-y+1/4,-x+1/4,-z+3/4'
'y+1/4,x+1/4,z+3/4'
'-x+1/2,y,-z+1/2'
'x+1/2,-y,z+1/2'
'y+1/4,x+3/4,-z+1/4'
'-y+1/4,-x+3/4,z+1/4'
'x+1/2,y+1/2,z+1/2'
'-x+1/2,-y+1/2,-z+1/2'
'-y+3/4,x+1/4,z+3/4'
'y+3/4,-x+1/4,-z+3/4'
'-x,-y+1/2,z'
'x,y+1/2,-z'
'y+3/4,-x+3/4,z+1/4'
'-y+3/4,x+3/4,-z+1/4'
'x+1/2,-y+1/2,-z+1/2'
'-x+1/2,y+1/2,z+1/2'
'-y+3/4,-x+3/4,-z+1/4'
'y+3/4,x+3/4,z+1/4'
'-x,y+1/2,-z'
'x,-y+1/2,z'
'y+3/4,x+1/4,-z+3/4'
'-y+3/4,-x+1/4,z+3/4'
loop_
_atom_site_label
_atom_site_type_symbol
_atom_site_fract_x
_atom_site_fract_y
_atom_site_fract_z
Cs1 Cs 0.0000 0.2500 0.3750
Be1 Be 0.0000 0.2500 0.8750
Se1 Se 0.0000 0.0000 0.0000